[1]
Crystalline Sc2AlNi at its relaxed geometry, computed with PBE.

Structure (POSCAR):
```
Sc2AlNi
1.0
-1.9354 5.4845 -0.8887
0.6059 -5.5387 -1.8897
-7.2327 -1.9853 3.4997
Sc Al Ni
4 2 2
Direct
0.8687 0.1313 0.0608
0.1313 0.8687 0.5608
0.1313 0.8687 0.9392
0.8687 0.1313 0.4392
0.4386 0.5614 0.7500
0.5614 0.4386 0.2500
0.2387 0.7613 0.2500
0.7613 0.2387 0.7500
```

Summary:
- space-group type = No. 63
- density of states at the Fermi level (states/eV per cell) = 7.84
- energy of formation from the pure elements (eV per atom) = -0.41

***

[2]
Crystalline Sc2CuAu at its relaxed geometry, computed with PBE.

Structure (POSCAR):
```
Sc2CuAu
1.0
-3.2421 0.5499 1.2210
-0.0764 -3.2691 1.2694
2.3734 2.0356 5.3852
Sc Au Cu
2 1 1
Direct
0.0000 0.0000 0.9558
0.5000 0.5000 0.2871
0.0000 0.0000 0.5040
0.5000 0.5000 0.7531
```

Summary:
- space-group type = No. 99
- density of states at the Fermi level (states/eV per cell) = 3.07
- excess energy over the best structure of this formula in the dataset (meV/atom) = 147
- energy of formation from the pure elements (eV per atom) = -0.40

***

[3]
Crystalline Li3Ca4Pt2 at its relaxed geometry, computed with PBE.

Structure (POSCAR):
```
Li3Ca4Pt2
1.0
4.4746 0.0000 -1.2338
-0.5569 5.7450 -2.0198
-0.0387 0.3003 8.5908
Ca Li Pt
4 3 2
Direct
0.5688 0.8365 0.1376
0.4312 0.1635 0.8624
0.7782 0.3094 0.5564
0.2218 0.6906 0.4436
0.8995 0.7987 0.7990
0.0000 0.5000 0.0000
0.1005 0.2013 0.2010
0.3863 0.5986 0.7726
0.6137 0.4014 0.2274
```

Summary:
- space-group type = No. 12
- density of states at the Fermi level (states/eV per cell) = 4.58
- energy of formation from the pure elements (eV per atom) = -0.49

***

[4]
Crystalline HgHS at its relaxed geometry, computed with PBE.

Structure (POSCAR):
```
HgHS
1.0
6.7241 0.0000 -0.7549
0.0000 7.8886 0.0000
-3.4101 0.0000 6.1911
Hg S H
4 4 4
Direct
0.7842 0.9389 0.3359
0.7158 0.4389 0.6641
0.2158 0.0611 0.6641
0.2842 0.5611 0.3359
0.6553 0.1401 0.8872
0.1553 0.3599 0.8872
0.3447 0.8599 0.1128
0.8447 0.6401 0.1128
0.7832 0.5191 0.2055
0.2832 0.9809 0.2055
0.2168 0.4809 0.7945
0.7168 0.0191 0.7945
```

Summary:
- space-group type = No. 14
- density of states at the Fermi level (states/eV per cell) = 0.00
- excess energy over the best structure of this formula in the dataset (meV/atom) = 0

***

[5]
Crystalline AcAgTeSe at its relaxed geometry, computed with PBE.

Structure (POSCAR):
```
AcAgTeSe
1.0
-0.7785 -0.3788 -4.8628
-0.2863 -4.4541 -2.1157
-12.2796 -1.7567 -0.4058
Se Ac Ag Te
2 2 2 2
Direct
0.8029 0.8029 0.5914
0.1971 0.1971 0.4086
0.1091 0.1091 0.6727
0.8909 0.8909 0.3273
0.6981 0.6981 0.9058
0.3019 0.3019 0.0942
0.6161 0.6161 0.1516
0.3839 0.3839 0.8484
```

Summary:
- formation energy from raw total energies (eV/atom) = -1.191
- space-group type = No. 166
- excess energy over the best structure of this formula in the dataset (meV/atom) = 0

***

[6]
Crystalline AlCdW2 at its relaxed geometry, computed with PBE.

Structure (POSCAR):
```
AlCdW2
1.0
4.5540 0.0000 0.0000
2.2770 3.9439 0.0000
2.2770 1.3146 3.7184
Cd W Al
1 2 1
Direct
0.7500 0.7500 0.7500
0.0000 0.0000 0.0000
0.2500 0.2500 0.2500
0.5000 0.5000 0.5000
```

Summary:
- space-group type = No. 216
- density of states at the Fermi level (states/eV per cell) = 3.75
- excess energy over the best structure of this formula in the dataset (meV/atom) = 185
- energy of formation from the pure elements (eV per atom) = 0.44

***

[7]
Crystalline NdSmAg at its relaxed geometry, computed with PBE.

Structure (POSCAR):
```
NdSmAg
1.0
-0.6387 2.7388 2.4613
-5.0545 -0.4254 -0.8383
2.2378 -2.7942 3.6900
Ag Nd Sm
1 1 1
Direct
0.3218 0.3333 0.6667
0.6240 0.6667 0.3333
0.0541 0.0000 0.0000
```

Summary:
- space-group type = No. 156
- density of states at the Fermi level (states/eV per cell) = 3.15
- excess energy over the best structure of this formula in the dataset (meV/atom) = 141
- energy of formation from the pure elements (eV per atom) = -0.02

***

[8]
Crystalline CeYTl6 at its relaxed geometry, computed with PBE.

Structure (POSCAR):
```
CeYTl6
1.0
-3.6665 -2.7141 1.5069
1.3045 -3.4631 -3.0635
5.6257 -3.8521 6.7502
Tl Ce Y
6 1 1
Direct
0.5000 0.5000 0.0000
0.5000 0.0000 0.2477
0.5000 0.0000 0.7523
0.0000 0.5000 0.7523
0.5000 0.5000 0.5000
0.0000 0.5000 0.2477
0.0000 0.0000 0.5000
0.0000 0.0000 0.0000
```

Summary:
- space-group type = No. 123
- density of states at the Fermi level (states/eV per cell) = 7.81
- energy of formation from the pure elements (eV per atom) = -0.25

***

The M_tot results, record by record, are as follows: 0.0; 1.1; 0.0; 0.0; 0.0; 0.0; 0.0; 1.0 μB per cell.